[1]
A geometry-optimized Cd3AgCl structure. Source: the Alexandria database, functional PBEsol.

Geometry as CIF:
```
data_Cd3AgCl
_symmetry_space_group_name_H-M 'P m -3 m'
_symmetry_Int_Tables_number 221
_symmetry_space_group_name_Hall '-P 4 2 3'
_cell_length_a 5.211
_cell_length_b 5.211
_cell_length_c 5.211
_cell_angle_alpha 90.00
_cell_angle_beta 90.00
_cell_angle_gamma 90.00
loop_
_atom_site_label
_atom_site_type_symbol
_atom_site_fract_x
_atom_site_fract_y
_atom_site_fract_z
Cd1 Cd 0.000 0.000 0.500
Ag1 Ag 0.500 0.500 0.500
Cl1 Cl 0.000 0.000 0.000
```

Results
For the calculated total energy, the calculation gives -1.1569 eV per atom. Its spin magnetization is 0.000 μB/atom. The calculation puts the raw formation energy at 0.625 eV per atom.

---

[2]
A geometry-optimized TlRuW2 structure. Source: the Alexandria database, functional PBEsol.

Geometry as CIF:
```
data_TlRuW2
_symmetry_space_group_name_H-M 'I m m 2'
_symmetry_Int_Tables_number 44
_symmetry_space_group_name_Hall 'I 2 -2'
_cell_length_a 3.113
_cell_length_b 4.679
_cell_length_c 9.094
_cell_angle_alpha 90.00
_cell_angle_beta 90.00
_cell_angle_gamma 90.00
loop_
_atom_site_label
_atom_site_type_symbol
_atom_site_fract_x
_atom_site_fract_y
_atom_site_fract_z
Tl1 Tl 0.000 0.000 0.000
Ru1 Ru 0.000 0.500 0.762
W1 W 0.000 0.000 0.500
W2 W 0.000 0.500 0.225
```

Results
For the calculated total energy, the calculation gives -9.3742 eV per atom. Its spin magnetization is 0.000 μB/atom. The value obtained for the formation energy is 730 meV per atom.

---

[3]
A geometry-optimized MnCr structure. Source: the Alexandria database, functional PBEsol.

Geometry as CIF:
```
data_MnCr
_symmetry_space_group_name_H-M 'P 4/n m m'
_symmetry_Int_Tables_number 129
_cell_length_a 2.777
_cell_length_b 2.777
_cell_length_c 5.589
_cell_angle_alpha 90.00
_cell_angle_beta 90.00
_cell_angle_gamma 90.00
loop_
_symmetry_equiv_pos_as_xyz
'x,y,z'
'-x,-y,-z'
'-y+1/2,x,z'
'y+1/2,-x,-z'
'-x+1/2,-y+1/2,z'
'x+1/2,y+1/2,-z'
'y,-x+1/2,z'
'-y,x+1/2,-z'
'x+1/2,-y,-z'
'-x+1/2,y,z'
'-y,-x,-z'
'y,x,z'
'-x,y+1/2,-z'
'x,-y+1/2,z'
'y+1/2,x+1/2,-z'
'-y+1/2,-x+1/2,z'
loop_
_atom_site_label
_atom_site_type_symbol
_atom_site_fract_x
_atom_site_fract_y
_atom_site_fract_z
Mn1 Mn 0.250 0.250 0.139
Cr1 Cr 0.250 0.250 0.633
```

Results
For the calculated total energy, the calculation gives -9.9321 eV per atom. Its spin magnetization is 0.001 μB/atom. The value obtained for the formation energy is 69 meV per atom.

---

[4]
A geometry-optimized Mn2TlCr structure. Source: the Alexandria database, functional PBEsol.

Geometry as CIF:
```
data_Mn2TlCr
_symmetry_space_group_name_H-M 'R -3 m'
_symmetry_Int_Tables_number 166
_symmetry_space_group_name_Hall '-R 3 2"'
_cell_length_a 2.9300
_cell_length_b 2.9300
_cell_length_c 24.3175
_cell_angle_alpha 90.00
_cell_angle_beta 90.00
_cell_angle_gamma 120.00
loop_
_atom_site_label
_atom_site_type_symbol
_atom_site_fract_x
_atom_site_fract_y
_atom_site_fract_z
Mn1 Mn 0.0000 0.0000 0.2366
Tl1 Tl 0.0000 0.0000 0.0000
Cr1 Cr 0.0000 0.0000 0.5000
```

Results
For the calculated total energy, the calculation gives -7.4816 eV per atom. Its spin magnetization is 0.959 μB/atom. The value obtained for the formation energy is 617 meV per atom.